(1)
Below is an optimized crystal structure of Y2TaPt, with properties calculated at the PBE level.

Properties
* excess energy over the best structure of this formula in the dataset: 0.0 meV/atom
* Fermi-level density of states: 4.4 states/eV per cell
* symmetry: Amm2, No. 38
* E_form: -0.335 eV per atom

a = 3.6633 Å, b = 4.7467 Å, c = 6.2038 Å
α = 67.51°, β = 90.00°, γ = 90.00°
Fractional coordinates of all 4 atoms:
Y  0.0000  0.9651  0.9444
Y  0.5000  0.2695  0.3362
Ta  0.5000  0.5568  0.7613
Pt  0.0000  0.7087  0.4581

(2)
Below is an optimized crystal structure of Y2TaPt, with properties calculated at the PBE level.

Properties
* excess energy over the best structure of this formula in the dataset: 355.9 meV/atom
* Fermi-level density of states: 6.4 states/eV per cell
* symmetry: F-43m, No. 216
* E_form: 0.021 eV per atom

a = 4.9235 Å, b = 4.9235 Å, c = 4.9235 Å
α = 60.00°, β = 60.00°, γ = 60.00°
Fractional coordinates of all 4 atoms:
Y  0.2500  0.2500  0.2500
Y  0.0000  0.0000  0.0000
Ta  0.7500  0.7500  0.7500
Pt  0.5000  0.5000  0.5000

(3)
Below is an optimized crystal structure of Y2TaPt, with properties calculated at the PBE level.

Properties
* excess energy over the best structure of this formula in the dataset: 15.3 meV/atom
* Fermi-level density of states: 3.9 states/eV per cell
* symmetry: P4mm, No. 99
* E_form: -0.320 eV per atom

a = 3.3126 Å, b = 3.3126 Å, c = 8.7381 Å
α = 90.00°, β = 90.00°, γ = 90.00°
Fractional coordinates of all 4 atoms:
Y  0.0000  0.0000  0.9492
Y  0.5000  0.5000  0.3070
Pt  0.0000  0.0000  0.5417
Ta  0.5000  0.5000  0.7022

(4)
Below is an optimized crystal structure of Y2TaPt, with properties calculated at the PBE level.

Properties
* excess energy over the best structure of this formula in the dataset: 28.3 meV/atom
* Fermi-level density of states: 4.0 states/eV per cell
* symmetry: P4/mmm, No. 123
* E_form: -0.307 eV per atom

a = 3.4008 Å, b = 3.4008 Å, c = 7.8505 Å
α = 90.00°, β = 90.00°, γ = 89.99°
Fractional coordinates of all 4 atoms:
Ta  0.5000  0.5000  0.7500
Y  0.0000  0.0000  0.0236
Y  0.0000  0.0000  0.4764
Pt  0.5000  0.5000  0.2500

(5)
Below is an optimized crystal structure of Y2TaPt, with properties calculated at the PBE level.

Properties
* excess energy over the best structure of this formula in the dataset: 31.2 meV/atom
* Fermi-level density of states: 4.5 states/eV per cell
* symmetry: Cm, No. 8
* E_form: -0.304 eV per atom

a = 6.1266 Å, b = 6.1266 Å, c = 5.2359 Å
α = 65.56°, β = 65.56°, γ = 31.99°
Fractional coordinates of all 4 atoms:
Y  0.7846  0.7846  0.6812
Y  0.9873  0.9873  0.0236
Pt  0.5243  0.5243  0.5429
Ta  0.2038  0.2038  0.2523

(6)
Below is an optimized crystal structure of Y4TaPt, with properties calculated at the PBE level.

Properties
* Fermi-level density of states: 7.7 states/eV per cell
* symmetry: F-43m, No. 216
* E_form: 0.705 eV per atom

a = 5.9951 Å, b = 5.9951 Å, c = 5.9951 Å
α = 60.00°, β = 60.00°, γ = 60.00°
Site moments in Bohr magnetons follow the coordinates.
Fractional coordinates of all 6 atoms:
Ta  0.0000  0.0000  0.0000  0.89
Y  0.3750  0.3750  0.8751  0.02
Y  0.3750  0.8751  0.3750  0.02
Y  0.3750  0.3750  0.3750  0.02
Y  0.8751  0.3750  0.3750  0.02
Pt  0.7500  0.7500  0.7500  0.05

Among the records above, which one has the lowest E_form?
number 1

Look up the E_form of the second one.
0.021 eV per atom

What is the formula in the third record?
Y2TaPt

What is the formula in the sixth record?
Y4TaPt